i:
Density functional theory data (meta-GGA SCAN) for TlAgRh at its PBEsol-relaxed geometry.

Cell and atoms, written as extended XYZ:
```
3
Lattice="-0.8591 1.6246 -4.0050 -4.0968 -0.1692 -1.6140 -2.3580 3.6990 -0.4179" Properties=species:S:1:pos:R:3 pbc="T T T"
Ag -3.6570 2.5772 -3.0184
Rh -1.8285 1.2886 -1.5092
Tl 0.0000 0.0000 0.0000
```

- Crystal system: cubic

---

ii:
Density functional theory data (meta-GGA SCAN) for TlAgRh at its PBEsol-relaxed geometry.

Cell and atoms, written as extended XYZ:
```
3
Lattice="-1.2375 -0.5491 -2.8956 0.8063 -3.0838 0.2402 -4.3121 0.7984 3.4559" Properties=species:S:1:pos:R:3 pbc="T T T"
Ag -4.6781 -2.8199 0.7698
Rh -2.9979 -0.6741 1.4091
Tl -1.8107 -2.1751 -0.5780
```

- Crystal system: tetragonal

---

What should be chosen as the most stable of them? Choose ii.

---

i:
Density functional theory data (meta-GGA SCAN) for TlAg2Rh at its PBEsol-relaxed geometry.

Cell and atoms, written as extended XYZ:
```
4
Lattice="-2.2878 -1.3384 1.4584 2.3629 -2.8539 1.0875 1.3610 2.9839 4.8735" Properties=species:S:1:pos:R:3 pbc="T T T"
Ag 0.0253 0.0554 0.0905
Ag 0.3743 -1.3578 2.4789
Rh 0.6878 1.5080 2.4630
Tl 1.0291 0.0779 4.8237
```

- Crystal system: orthorhombic

---

ii:
Density functional theory data (meta-GGA SCAN) for TlAg2Rh at its PBEsol-relaxed geometry.

Cell and atoms, written as extended XYZ:
```
4
Lattice="3.9502 0.0000 0.0000 0.0000 3.9502 0.0000 0.0000 0.0000 4.3319" Properties=species:S:1:pos:R:3 pbc="T T T"
Tl 0.0000 0.0000 2.1659
Rh 1.9751 1.9751 2.1659
Ag 0.0000 1.9751 0.0000
Ag 1.9751 0.0000 0.0000
```

- Crystal system: tetragonal

---

What should be chosen as the most stable of them? Choose ii.

---

i:
Density functional theory data (meta-GGA SCAN) for AgRhW at its PBEsol-relaxed geometry.

Cell and atoms, written as extended XYZ:
```
3
Lattice="2.6901 -0.0059 0.0000 -1.0961 2.4566 0.0000 -0.7970 -1.2254 7.0037" Properties=species:S:1:pos:R:3 pbc="T T T"
Ag 0.7970 1.2254 6.9838
Rh 0.0000 0.0000 4.5752
W 0.7970 1.2254 2.4484
```

- Crystal system: orthorhombic

---

ii:
Density functional theory data (meta-GGA SCAN) for AgRhW at its PBEsol-relaxed geometry.

Cell and atoms, written as extended XYZ:
```
3
Lattice="-0.1369 -2.0752 1.8250 3.8368 0.2863 0.6133 -2.5398 3.6173 1.8251" Properties=species:S:1:pos:R:3 pbc="T T T"
Ag -0.0007 0.0028 0.0032
Rh 1.6116 0.0464 2.2711
W -0.4508 1.7792 1.9892
```

- Crystal system: orthorhombic

---

What should be chosen as the most stable of them? Choose ii.

---

i:
Density functional theory data (meta-GGA SCAN) for Ag2RhW at its PBEsol-relaxed geometry.

Cell and atoms, written as extended XYZ:
```
4
Lattice="-2.6048 0.2617 -0.5903 1.0859 -2.3761 -0.6141 -2.2974 -3.2926 8.6772" Properties=species:S:1:pos:R:3 pbc="T T T"
Ag -0.5867 -0.8409 2.2160
Ag -1.7106 -2.4517 6.4612
Rh -1.9082 -2.7035 3.7364
W -0.7595 -1.0572 -0.6022
```

- Crystal system: orthorhombic

---

ii:
Density functional theory data (meta-GGA SCAN) for Ag2RhW at its PBEsol-relaxed geometry.

Cell and atoms, written as extended XYZ:
```
4
Lattice="3.7128 0.0000 0.0000 0.0000 3.7128 0.0000 0.0000 0.0000 4.5116" Properties=species:S:1:pos:R:3 pbc="T T T"
Ag 0.0000 1.8564 0.0000
Ag 1.8564 0.0000 0.0000
Rh 1.8564 1.8564 2.2558
W 0.0000 0.0000 2.2558
```

- Crystal system: tetragonal

---

iii:
Density functional theory data (meta-GGA SCAN) for Ag2RhW at its PBEsol-relaxed geometry.

Cell and atoms, written as extended XYZ:
```
4
Lattice="2.7787 0.0000 0.0000 1.3894 2.4065 0.0000 1.3894 0.8022 9.2836" Properties=species:S:1:pos:R:3 pbc="T T T"
Ag 4.1681 2.4065 0.0169
Ag 4.1681 2.4065 6.9101
Rh 2.7787 1.6043 4.5312
W 1.3894 0.8022 2.4673
```

- Crystal system: trigonal

---

iv:
Density functional theory data (meta-GGA SCAN) for Ag2RhW at its PBEsol-relaxed geometry.

Cell and atoms, written as extended XYZ:
```
4
Lattice="2.7779 0.0000 0.0000 0.0000 4.5840 0.0000 0.0000 0.0000 4.9107" Properties=species:S:1:pos:R:3 pbc="T T T"
Ag 0.0000 0.0000 0.0000
Ag 1.3890 2.2920 0.0000
Rh 1.3890 0.0000 2.4553
W 0.0000 2.2920 2.4553
```

- Crystal system: orthorhombic

---

What should be chosen as the most stable of them? Choose iii.

---

i:
Density functional theory data (meta-GGA SCAN) for AgRhW2 at its PBEsol-relaxed geometry.

Cell and atoms, written as extended XYZ:
```
4
Lattice="2.8517 0.0000 0.0000 0.0000 4.6301 0.0149 -1.4259 -0.9869 4.6149" Properties=species:S:1:pos:R:3 pbc="T T T"
Ag 1.4259 0.0000 0.0000
Rh 0.0000 2.3151 0.0074
W 0.0000 0.7115 2.3731
W 1.4259 2.9317 2.2566
```

- Crystal system: monoclinic

---

ii:
Density functional theory data (meta-GGA SCAN) for AgRhW2 at its PBEsol-relaxed geometry.

Cell and atoms, written as extended XYZ:
```
4
Lattice="2.7133 0.0000 0.0000 0.0000 4.9133 0.0009 0.0000 -1.9504 4.5095" Properties=species:S:1:pos:R:3 pbc="T T T"
Ag 1.3566 0.0000 0.0000
Rh 1.3566 1.4814 2.2552
W 0.0000 2.4566 0.0004
W 0.0000 -0.9752 2.2548
```

- Crystal system: orthorhombic

---

iii:
Density functional theory data (meta-GGA SCAN) for AgRhW2 at its PBEsol-relaxed geometry.

Cell and atoms, written as extended XYZ:
```
4
Lattice="-2.5762 -0.0509 2.8320 1.1084 -3.5411 0.9446 2.7963 1.5613 2.5718" Properties=species:S:1:pos:R:3 pbc="T T T"
Ag 0.6642 -1.0153 3.1742
Rh 1.3982 0.7807 1.2859
W 0.5542 -1.7705 0.4723
W -1.2881 -0.0254 1.4160
```

- Crystal system: tetragonal

---

What should be chosen as the most stable of them? Choose ii.

---

i:
Density functional theory data (meta-GGA SCAN) for TaAg2Ru at its PBEsol-relaxed geometry.

Cell and atoms, written as extended XYZ:
```
4
Lattice="-1.8337 -1.1959 3.9029 -3.5801 -2.6842 0.0609 0.3872 -4.2136 1.4563" Properties=species:S:1:pos:R:3 pbc="T T T"
Ag -1.2567 -2.0234 1.3550
Ag -3.7700 -6.0703 4.0651
Ru 0.0000 0.0000 0.0000
Ta -2.5133 -4.0469 2.7101
```

- Crystal system: cubic

---

ii:
Density functional theory data (meta-GGA SCAN) for TaAg2Ru at its PBEsol-relaxed geometry.

Cell and atoms, written as extended XYZ:
```
4
Lattice="-1.4670 2.1697 0.5425 -1.1736 -1.5660 -1.8233 -4.5039 -4.8009 7.0223" Properties=species:S:1:pos:R:3 pbc="T T T"
Ag -1.1497 -1.2255 1.7925
Ag -3.3542 -3.5754 5.2298
Ru -3.5722 -2.0986 2.8707
Ta -1.3203 0.3019 -0.6404
```

- Crystal system: orthorhombic

---

What should be chosen as the most stable of them? Choose ii.

---

i:
Density functional theory data (meta-GGA SCAN) for TcAgRu at its PBEsol-relaxed geometry.

Cell and atoms, written as extended XYZ:
```
3
Lattice="-1.9348 1.2544 -1.5142 1.8290 -0.9432 -3.1184 -2.1273 -3.7498 2.1247" Properties=species:S:1:pos:R:3 pbc="T T T"
Ag -0.0006 -0.0010 0.0000
Ru -0.8326 -1.1297 -2.3848
Tc -1.4000 -2.3080 -0.1230
```

- Crystal system: orthorhombic

---

ii:
Density functional theory data (meta-GGA SCAN) for TcAgRu at its PBEsol-relaxed geometry.

Cell and atoms, written as extended XYZ:
```
3
Lattice="2.7753 0.0000 0.0000 0.0000 2.7753 0.0000 -1.3876 -1.3876 5.7650" Properties=species:S:1:pos:R:3 pbc="T T T"
Ag 0.0000 0.0000 0.0056
Ru 1.3876 1.3876 2.0969
Tc 0.0000 0.0000 3.6625
```

- Crystal system: tetragonal

---

iii:
Density functional theory data (meta-GGA SCAN) for TcAgRu at its PBEsol-relaxed geometry.

Cell and atoms, written as extended XYZ:
```
3
Lattice="2.7218 0.0000 0.0000 -1.3609 2.3572 0.0000 0.0000 0.0000 6.8660" Properties=species:S:1:pos:R:3 pbc="T T T"
Ag 0.0000 0.0000 6.8583
Ru 1.3609 0.7857 4.4285
Tc 0.0000 1.5714 2.4451
```

- Crystal system: trigonal

---

What should be chosen as the most stable of them? Choose iii.